(1)
Density functional theory data (PBE) for CaPd after structural relaxation.

Output
ΔH_f (0 K) ... -1.1 eV per formula unit
Uncorrected energy ... -66.15 eV for the cell shown
Space-group type ... No. 139

a b c (Å): 8.956 8.956 4.724
angles (deg): 90.00 90.00 90.00
Sites, in units of the cell vectors:
Pd 0.838 0.838 0.000
Pd 0.662 0.662 0.500
Pd 0.162 0.162 0.000
Pd 0.162 0.838 0.000
Pd 0.662 0.338 0.500
Pd 0.338 0.338 0.500
Pd 0.338 0.662 0.500
Pd 0.838 0.162 0.000
Ca 0.774 0.500 0.000
Ca 0.000 0.726 0.500
Ca 0.274 0.000 0.500
Ca 0.226 0.500 0.000
Ca 0.000 0.274 0.500
Ca 0.726 0.000 0.500
Ca 0.500 0.774 0.000
Ca 0.500 0.226 0.000

---

(2)
Density functional theory data (PBE) for Sm2PuVN5 after structural relaxation.

Output
Uncorrected energy ... -171.07 eV for the cell shown
Space-group type ... No. 36

a b c (Å): 3.441 7.132 10.320
angles (deg): 90.00 90.00 103.96
Sites, in units of the cell vectors:
N 0.959 0.919 0.535
N 0.714 0.429 0.149
N 0.311 0.622 0.375
N 0.492 0.985 0.793
N 0.508 0.015 0.293
N 0.041 0.081 0.035
N 0.624 0.249 0.509
N 0.286 0.571 0.649
N 0.689 0.378 0.875
N 0.376 0.751 0.009
V 0.506 0.013 0.965
V 0.494 0.987 0.465
Sm 0.890 0.780 0.194
Sm 0.860 0.721 0.797
Sm 0.140 0.279 0.297
Sm 0.110 0.220 0.694
Pu 0.207 0.414 0.008
Pu 0.793 0.586 0.508

---

(3)
Density functional theory data (PBE) for Ca3TiPd after structural relaxation.

Output
ΔH_f (0 K) ... 4.5 eV per formula unit
Uncorrected energy ... -14.60 eV for the cell shown
Space-group type ... No. 221
Energy above the most stable polymorph in this dataset ... 688 meV per atom

a b c (Å): 5.647 5.647 5.647
angles (deg): 90.00 90.00 90.00
Sites, in units of the cell vectors:
Ca 0.000 0.500 0.000
Ca 0.500 0.000 0.000
Ca 0.000 0.000 0.500
Ti 0.000 0.000 0.000
Pd 0.500 0.500 0.500

---

Which value of uncorrected energy does entry 2 give? -171.07 eV for the cell shown

---

Which of these has the lowest uncorrected energy? Sm2PuVN5

---

Copy entry 2 word for word.
Density functional theory data (PBE) for Sm2PuVN5 after structural relaxation.

Output
Uncorrected energy ... -171.07 eV for the cell shown
Space-group type ... No. 36

a b c (Å): 3.441 7.132 10.320
angles (deg): 90.00 90.00 103.96
Sites, in units of the cell vectors:
N 0.959 0.919 0.535
N 0.714 0.429 0.149
N 0.311 0.622 0.375
N 0.492 0.985 0.793
N 0.508 0.015 0.293
N 0.041 0.081 0.035
N 0.624 0.249 0.509
N 0.286 0.571 0.649
N 0.689 0.378 0.875
N 0.376 0.751 0.009
V 0.506 0.013 0.965
V 0.494 0.987 0.465
Sm 0.890 0.780 0.194
Sm 0.860 0.721 0.797
Sm 0.140 0.279 0.297
Sm 0.110 0.220 0.694
Pu 0.207 0.414 0.008
Pu 0.793 0.586 0.508